Record 1
# PBE CeScTcNi, optimized geometry
# total DFT energy (no corrections): -29.42 eV/f.u.
# formation enthalpy at 0 K: -0.2507 eV per atom
data_CeScTcNi
_cell_length_a 6.6427
_cell_length_b 6.6427
_cell_length_c 6.6427
_cell_angle_alpha 90.00
_cell_angle_beta 90.00
_cell_angle_gamma 90.00
_space_group_name_H-M_alt 'F -4 3 m'
_space_group_IT_number 216
_space_group_name_Hall 'F -4 2 3'
loop_
_atom_site_label
_atom_site_fract_x
_atom_site_fract_y
_atom_site_fract_z
Ce1 0.0000 0.0000 0.0000
Sc1 0.0000 0.0000 0.5000
Tc1 0.2500 0.2500 0.2500
Ni1 0.2500 0.2500 0.7500

Record 2
# PBE CeScZnNi, optimized geometry
# total DFT energy (no corrections): -20.32 eV/f.u.
# formation enthalpy at 0 K: -0.2501 eV per atom
data_CeScZnNi
_cell_length_a 6.8155
_cell_length_b 6.8155
_cell_length_c 6.8155
_cell_angle_alpha 90.00
_cell_angle_beta 90.00
_cell_angle_gamma 90.00
_space_group_name_H-M_alt 'F -4 3 m'
_space_group_IT_number 216
_space_group_name_Hall 'F -4 2 3'
loop_
_atom_site_label
_atom_site_fract_x
_atom_site_fract_y
_atom_site_fract_z
Ce1 0.0000 0.0000 0.0000
Sc1 0.0000 0.0000 0.5000
Zn1 0.2500 0.2500 0.7500
Ni1 0.2500 0.2500 0.2500

Record 3
# PBE Ce2NiSe4, optimized geometry
# total DFT energy (no corrections): -41.34 eV/f.u.
data_Ce2NiSe4
_cell_length_a 6.9338
_cell_length_b 5.9251
_cell_length_c 8.1998
_cell_angle_alpha 90.00
_cell_angle_beta 107.10
_cell_angle_gamma 90.00
_space_group_name_H-M_alt 'P 1 21/m 1'
_space_group_IT_number 11
_space_group_name_Hall '-P 2yb'
loop_
_atom_site_label
_atom_site_fract_x
_atom_site_fract_y
_atom_site_fract_z
Ce1 0.2350 0.2500 0.4294
Ce2 0.2394 0.2500 0.9392
Ni1 0.2496 0.7500 0.1879
Se1 0.0730 0.7500 0.3916
Se2 0.0821 0.7500 0.8956
Se3 0.4863 0.5072 0.7440

Record 4
# PBE CeNiSe2, optimized geometry
# total DFT energy (no corrections): -19.89 eV/f.u.
data_CeNiSe2
_cell_length_a 3.5982
_cell_length_b 3.5982
_cell_length_c 24.9299
_cell_angle_alpha 90.00
_cell_angle_beta 90.00
_cell_angle_gamma 120.00
_space_group_name_H-M_alt 'R -3 m'
_space_group_IT_number 166
_space_group_name_Hall '-R 3 2"'
loop_
_atom_site_label
_atom_site_fract_x
_atom_site_fract_y
_atom_site_fract_z
Ce1 0.0000 0.0000 0.0000
Ni1 0.0000 0.0000 0.5000
Se1 0.0000 0.0000 0.1154

The lowest total DFT energy (no corrections) belongs to which entry? Ce2NiSe4